No. 1
Density functional theory data (PBE-GGA) for a relaxed TlSi2Ni2 crystal.

The energy above the lowest structure with this stoichiometry comes out at 204.2 meV per atom. For the density of states at the Fermi level, the calculation gives 0.526 states/eV/atom. For the spin magnetization, the calculation gives 0.000 μB per atom.

Unit cell a=7.4706 b=7.4706 c=2.6872 alpha=90.00 beta=90.00 gamma=90.00
Last column: nearest neighbours and their distance in Å.
Fractional coordinates of all 10 atoms:
Tl: 0.0000 0.0000 0.0000  2 Tl 2.69, 4 Ni 2.83
Tl: 0.5000 0.5000 0.0000  2 Tl 2.69, 4 Ni 2.83
Si: 0.1257 0.3743 0.5000  6 Ni 2.48-2.70, 3 Si 2.66-2.69
Si: 0.3743 0.8743 0.5000  6 Ni 2.48-2.70, 3 Si 2.66-2.69
Si: 0.6257 0.1257 0.5000  6 Ni 2.48-2.70, 3 Si 2.66-2.69
Si: 0.8743 0.6257 0.5000  6 Ni 2.48-2.70, 3 Si 2.66-2.69
Ni: 0.1527 0.6527 0.0000  6 Si 2.48-2.70, 2 Ni 2.69
Ni: 0.3473 0.1527 0.0000  6 Si 2.48-2.70, 2 Ni 2.69
Ni: 0.6527 0.8473 0.0000  6 Si 2.48-2.70, 2 Ni 2.69
Ni: 0.8473 0.3473 0.0000  6 Si 2.48-2.70, 2 Ni 2.69

No. 2
Density functional theory data (PBE-GGA) for a relaxed Sr2Cd4SnAu3 crystal.

The value obtained for the electronic total energy is -2.515 eV per atom. For the density of states at the Fermi level, the calculation gives 0.615 states/eV/atom. For the spin magnetization, the calculation gives 0.000 μB per atom.

Unit cell a=4.5143 b=4.5143 c=12.6978 alpha=90.00 beta=90.00 gamma=90.00
Last column: nearest neighbours and their distance in Å.
Fractional coordinates of all 10 atoms:
Sr: 0.0000 0.5000 0.2434  4 Au 3.44, 8 Cd 3.51-3.83
Sr: 0.5000 0.0000 0.7566  4 Au 3.44, 8 Cd 3.51-3.83
Cd: 0.0000 0.0000 0.0000  4 Au 2.89, 4 Cd 3.19
Cd: 0.0000 0.5000 0.6426  3 Au 2.74-2.89, 2 Sn 2.89
Cd: 0.5000 0.0000 0.3574  3 Au 2.74-2.89, 2 Sn 2.89
Cd: 0.5000 0.5000 0.0000  4 Au 2.89, 4 Cd 3.19
Sn: 0.0000 0.0000 0.5000  4 Cd 2.89, 4 Au 3.19
Au: 0.0000 0.5000 0.8582  5 Cd 2.74-2.89
Au: 0.5000 0.0000 0.1418  5 Cd 2.74-2.89
Au: 0.5000 0.5000 0.5000  4 Cd 2.89, 4 Sn 3.19

No. 3
Density functional theory data (PBE-GGA) for a relaxed Co2AgIrN crystal.

The value obtained for the electronic total energy is -6.550 eV per atom. For the density of states at the Fermi level, the calculation gives 1.431 states/eV/atom. For the spin magnetization, the calculation gives 0.589 μB per atom.

Unit cell a=3.9283 b=3.9283 c=3.9872 alpha=90.00 beta=90.00 gamma=90.00
Last column: nearest neighbours and their distance in Å.
Fractional coordinates of all 5 atoms:
Co: 0.0000 0.5000 0.0000  2 N 1.96
Co: 0.5000 0.0000 0.0000  2 N 1.96
Ag: 0.0000 0.0000 0.5000  4 Ir 2.78, 8 Co 2.80
Ir: 0.5000 0.5000 0.5000  2 N 1.99
N: 0.5000 0.5000 0.0000  4 Co 1.96, 2 Ir 1.99

No. 4
Density functional theory data (PBE-GGA) for a relaxed RbI2F crystal.

The value obtained for the electronic total energy is -2.059 eV per atom. For the density of states at the Fermi level, the calculation gives 1.285 states/eV/atom. For the spin magnetization, the calculation gives 0.500 μB per atom.

Unit cell a=5.8569 b=5.8569 c=5.8569 alpha=60.00 beta=60.00 gamma=60.00
Last column: nearest neighbours and their distance in Å.
Fractional coordinates of all 4 atoms:
Rb: 0.0000 0.0000 0.0000  8 I 3.59
I: 0.2500 0.2500 0.2500  4 F 3.59, 4 Rb 3.59
I: 0.7500 0.7500 0.7500  4 F 3.59, 4 Rb 3.59
F: 0.5000 0.5000 0.5000  8 I 3.59

No. 5
Density functional theory data (PBE-GGA) for a relaxed AsH3Ru crystal.

The energy above the lowest structure with this stoichiometry comes out at 0.0 meV per atom. For the density of states at the Fermi level, the calculation gives 0.084 states/eV/atom. For the spin magnetization, the calculation gives 0.000 μB per atom.

Unit cell a=3.5137 b=3.5137 c=3.5137 alpha=90.00 beta=90.00 gamma=90.00
Last column: nearest neighbours and their distance in Å.
Fractional coordinates of all 5 atoms:
As: 0.0000 0.0000 0.0000  12 H 2.48
H: 0.0000 0.5000 0.5000  2 Ru 1.76
H: 0.5000 0.0000 0.5000  2 Ru 1.76
H: 0.5000 0.5000 0.0000  2 Ru 1.76
Ru: 0.5000 0.5000 0.5000  6 H 1.76

No. 6
Density functional theory data (PBE-GGA) for a relaxed YMnRu2N crystal.

The value obtained for the electronic total energy is -8.550 eV per atom. For the density of states at the Fermi level, the calculation gives 1.177 states/eV/atom. For the spin magnetization, the calculation gives 0.816 μB per atom.

Unit cell a=4.0936 b=4.0936 c=4.5469 alpha=90.00 beta=90.00 gamma=90.00
Last column: nearest neighbours and their distance in Å.
Fractional coordinates of all 5 atoms:
Y: 0.0000 0.0000 0.0000  2 N 2.27
Mn: 0.5000 0.5000 0.0000  4 Y 2.89, 8 Ru 3.06
Ru: 0.0000 0.5000 0.5000  2 N 2.05
Ru: 0.5000 0.0000 0.5000  2 N 2.05
N: 0.0000 0.0000 0.5000  4 Ru 2.05, 2 Y 2.27

No. 7
Density functional theory data (PBE-GGA) for a relaxed LiFeMoPt2 crystal.

The value obtained for the electronic total energy is -5.919 eV per atom. For the density of states at the Fermi level, the calculation gives 0.648 states/eV/atom. For the spin magnetization, the calculation gives 0.518 μB per atom.

Unit cell a=4.7128 b=4.7128 c=4.2781 alpha=90.00 beta=90.00 gamma=90.00
Last column: nearest neighbours and their distance in Å.
Fractional coordinates of all 5 atoms:
Li: 0.0000 0.0000 0.0000  8 Pt 3.18, 4 Mo 3.33
Fe: 0.5000 0.5000 0.5000  2 Mo 2.14, 4 Pt 2.36
Mo: 0.5000 0.5000 0.0000  2 Fe 2.14
Pt: 0.0000 0.5000 0.5000  2 Fe 2.36
Pt: 0.5000 0.0000 0.5000  2 Fe 2.36

No. 8
Density functional theory data (PBE-GGA) for a relaxed PaBi2Pt crystal.

The value obtained for the electronic total energy is -5.615 eV per atom. For the density of states at the Fermi level, the calculation gives 1.144 states/eV/atom. For the spin magnetization, the calculation gives 0.029 μB per atom.

Unit cell a=10.7262 b=10.7262 c=10.7262 alpha=18.41 beta=18.41 gamma=18.41
Last column: nearest neighbours and their distance in Å.
Fractional coordinates of all 4 atoms:
Pa: 0.0000 0.0000 0.0000  2 Bi 3.24, 6 Pa 3.43
Bi: 0.1024 0.1024 0.1024  3 Pt 2.84
Bi: 0.8976 0.8976 0.8976  3 Pt 2.84
Pt: 0.5000 0.5000 0.5000  6 Bi 2.84

No. 9
Density functional theory data (PBE-GGA) for a relaxed Li2CaZr crystal.

The energy above the lowest structure with this stoichiometry comes out at 0.0 meV per atom. For the density of states at the Fermi level, the calculation gives 0.697 states/eV/atom. For the spin magnetization, the calculation gives 0.000 μB per atom.

Unit cell a=3.4879 b=3.4879 c=7.8848 alpha=90.00 beta=90.00 gamma=90.00
Last column: nearest neighbours and their distance in Å.
Fractional coordinates of all 4 atoms:
Li: 0.0000 0.0000 0.0000  4 Li 2.82, 1 Zr 3.13
Li: 0.5000 0.5000 0.1731  4 Li 2.82, 4 Zr 3.04
Ca: 0.5000 0.5000 0.6995  5 Li 3.42-3.73, 4 Zr 3.43, 4 Ca 3.49
Zr: 0.0000 0.0000 0.3976  5 Li 3.04-3.13

No. 10
Density functional theory data (PBE-GGA) for a relaxed CaLa3Pt3 crystal.

The value obtained for the electronic total energy is -5.991 eV per atom. For the density of states at the Fermi level, the calculation gives 0.703 states/eV/atom. For the spin magnetization, the calculation gives 0.000 μB per atom.

Unit cell a=7.7733 b=7.7733 c=7.7733 alpha=70.35 beta=70.35 gamma=70.35
Last column: nearest neighbours and their distance in Å.
Fractional coordinates of all 14 atoms:
Ca: 0.1729 0.1729 0.1729  6 Pt 2.97-3.16
Ca: 0.8271 0.8271 0.8271  6 Pt 2.97-3.16
La: 0.1332 0.6885 0.3869  5 Pt 2.93-3.17
La: 0.3115 0.6131 0.8668  5 Pt 2.93-3.17
La: 0.3869 0.1332 0.6885  5 Pt 2.93-3.17
La: 0.6131 0.8668 0.3115  5 Pt 2.93-3.17
La: 0.6885 0.3869 0.1332  5 Pt 2.93-3.17
La: 0.8668 0.3115 0.6131  5 Pt 2.93-3.17
Pt: 0.0532 0.4395 0.8007  5 La 2.93-3.17, 2 Ca 2.97-3.16
Pt: 0.1993 0.9468 0.5605  5 La 2.93-3.17, 2 Ca 2.97-3.16
Pt: 0.4395 0.8007 0.0532  5 La 2.93-3.17, 2 Ca 2.97-3.16
Pt: 0.5605 0.1993 0.9468  5 La 2.93-3.17, 2 Ca 2.97-3.16
Pt: 0.8007 0.0532 0.4395  5 La 2.93-3.17, 2 Ca 2.97-3.16
Pt: 0.9468 0.5605 0.1993  5 La 2.93-3.17, 2 Ca 2.97-3.16

No. 11
Density functional theory data (PBE-GGA) for a relaxed Pm6Co2IrI3 crystal.

The value obtained for the electronic total energy is -5.393 eV per atom. For the density of states at the Fermi level, the calculation gives 0.263 states/eV/atom. For the spin magnetization, the calculation gives 0.000 μB per atom.

Unit cell a=7.0867 b=7.0867 c=8.4010 alpha=98.07 beta=98.07 gamma=120.01
Last column: nearest neighbours and their distance in Å.
Fractional coordinates of all 12 atoms:
Pm: 0.0973 0.4393 0.8180  2 Co 2.76, 1 Ir 2.83
Pm: 0.2185 0.2185 0.1817  2 Co 2.75, 1 Ir 2.83
Pm: 0.4393 0.0973 0.8180  2 Co 2.76, 1 Ir 2.83
Pm: 0.5607 0.9027 0.1820  2 Co 2.76, 1 Ir 2.83
Pm: 0.7815 0.7815 0.8183  2 Co 2.75, 1 Ir 2.83
Pm: 0.9027 0.5607 0.1820  2 Co 2.76, 1 Ir 2.83
Co: 0.1667 0.8333 0.0000  6 Pm 2.75-2.76
Co: 0.8333 0.1667 0.0000  6 Pm 2.75-2.76
Ir: 0.5000 0.5000 0.0000  6 Pm 2.83
I: 0.0000 0.0000 0.5000  6 Pm 3.45-3.51
I: 0.3337 0.6663 0.5000  6 Pm 3.45-3.51
I: 0.6663 0.3337 0.5000  6 Pm 3.45-3.51

No. 12
Density functional theory data (PBE-GGA) for a relaxed Ba2Tl4HgAu3 crystal.

The value obtained for the electronic total energy is -2.694 eV per atom. For the density of states at the Fermi level, the calculation gives 0.681 states/eV/atom. For the spin magnetization, the calculation gives 0.000 μB per atom.

Unit cell a=4.8630 b=4.8630 c=12.5015 alpha=90.00 beta=90.00 gamma=90.00
Last column: nearest neighbours and their distance in Å.
Fractional coordinates of all 10 atoms:
Ba: 0.0000 0.5000 0.2500  6 Au 3.71-3.96, 8 Tl 3.73-3.96, 2 Hg 3.96
Ba: 0.5000 0.0000 0.7500  6 Au 3.71-3.96, 8 Tl 3.73-3.96, 2 Hg 3.96
Tl: 0.0000 0.0000 0.0000  4 Au 2.98
Tl: 0.0000 0.5000 0.6337  3 Au 2.85-2.95, 2 Hg 2.95
Tl: 0.5000 0.0000 0.3663  3 Au 2.85-2.95, 2 Hg 2.95
Tl: 0.5000 0.5000 0.0000  4 Au 2.98
Hg: 0.0000 0.0000 0.5000  4 Tl 2.95
Au: 0.0000 0.5000 0.8618  5 Tl 2.85-2.98
Au: 0.5000 0.0000 0.1382  5 Tl 2.85-2.98
Au: 0.5000 0.5000 0.5000  4 Tl 2.95

No. 13
Density functional theory data (PBE-GGA) for a relaxed DyFe4B2 crystal.

The value obtained for the electronic total energy is -7.660 eV per atom. For the density of states at the Fermi level, the calculation gives 0.687 states/eV/atom. For the spin magnetization, the calculation gives 0.000 μB per atom.

Unit cell a=6.5467 b=6.5467 c=3.5261 alpha=90.00 beta=90.00 gamma=148.77
Last column: nearest neighbours and their distance in Å.
Fractional coordinates of all 7 atoms:
Dy: 0.0000 0.0000 0.0000  8 B 2.78, 8 Fe 2.93-2.97
Fe: 0.1858 0.8142 0.5000  2 B 2.08
Fe: 0.3109 0.6891 0.0000  2 B 2.10, 2 Fe 2.34
Fe: 0.6891 0.3109 0.0000  2 B 2.10, 2 Fe 2.34
Fe: 0.8142 0.1858 0.5000  2 B 2.08
B: 0.4015 0.5985 0.5000  4 Fe 2.08-2.10
B: 0.5985 0.4015 0.5000  4 Fe 2.08-2.10